(1)
# Rb2NiSbO4 (PBE+U, relaxed)
# * space group: No. 5
# * crystal system: monoclinic
# * energy: -4.814 eV per atom
data_Rb2NiSbO4
_cell_length_a 8.167
_cell_length_b 7.737
_cell_length_c 6.043
_cell_angle_alpha 90.00
_cell_angle_beta 129.68
_cell_angle_gamma 90.00
_symmetry_space_group_name_H-M 'P 1'
_symmetry_Int_Tables_number 1
loop_
_symmetry_equiv_pos_as_xyz
'x,y,z'
loop_
_atom_site_label
_atom_site_fract_x
_atom_site_fract_y
_atom_site_fract_z
Rb1 0.000 0.000 0.000
Rb2 0.000 0.251 0.500
Rb3 0.500 0.500 0.000
Rb4 0.500 0.751 0.500
Ni1 0.000 0.771 0.500
Ni2 0.500 0.271 0.500
Sb1 0.000 0.505 0.000
Sb2 0.500 0.005 0.000
O1 0.122 0.666 0.884
O2 0.230 0.930 0.599
O3 0.270 0.430 0.401
O4 0.378 0.166 0.116
O5 0.622 0.166 0.884
O6 0.730 0.430 0.599
O7 0.770 0.930 0.401
O8 0.878 0.666 0.116

---

(2)
# RbNiSeO4 (PBE+U, relaxed)
# * space group: No. 216
# * crystal system: cubic
# * energy: -4.563 eV per atom
data_RbNiSeO4
_cell_length_a 5.980
_cell_length_b 5.980
_cell_length_c 5.980
_cell_angle_alpha 60.00
_cell_angle_beta 60.00
_cell_angle_gamma 60.00
_symmetry_space_group_name_H-M 'P 1'
_symmetry_Int_Tables_number 1
loop_
_symmetry_equiv_pos_as_xyz
'x,y,z'
loop_
_atom_site_label
_atom_site_fract_x
_atom_site_fract_y
_atom_site_fract_z
Rb1 0.000 0.000 0.000
Ni1 0.750 0.750 0.750
Se1 0.500 0.500 0.500
O1 0.138 0.621 0.621
O2 0.621 0.138 0.621
O3 0.621 0.621 0.138
O4 0.621 0.621 0.621

---

(3)
# Rb2NiSeO (PBE+U, relaxed)
# * space group: No. 123
# * crystal system: tetragonal
# * energy: -2.733 eV per atom
data_Rb2NiSeO
_cell_length_a 5.879
_cell_length_b 5.879
_cell_length_c 4.073
_cell_angle_alpha 90.00
_cell_angle_beta 90.00
_cell_angle_gamma 90.00
_symmetry_space_group_name_H-M 'P 1'
_symmetry_Int_Tables_number 1
loop_
_symmetry_equiv_pos_as_xyz
'x,y,z'
loop_
_atom_site_label
_atom_site_fract_x
_atom_site_fract_y
_atom_site_fract_z
Rb1 0.000 0.500 0.000
Rb2 0.500 0.000 0.000
Ni1 0.000 0.000 0.500
Se1 0.500 0.500 0.500
O1 0.500 0.500 0.000

---

(4)
# RbNiSe2O6 (PBE+U, relaxed)
# * space group: No. 148
# * crystal system: trigonal
# * energy: -4.936 eV per atom
data_RbNiSe2O6
_cell_length_a 7.144
_cell_length_b 7.144
_cell_length_c 7.144
_cell_angle_alpha 44.97
_cell_angle_beta 44.97
_cell_angle_gamma 44.97
_symmetry_space_group_name_H-M 'P 1'
_symmetry_Int_Tables_number 1
loop_
_symmetry_equiv_pos_as_xyz
'x,y,z'
loop_
_atom_site_label
_atom_site_fract_x
_atom_site_fract_y
_atom_site_fract_z
Rb1 0.000 0.000 0.000
Ni1 0.500 0.500 0.500
Se1 0.256 0.256 0.256
Se2 0.744 0.744 0.744
O1 0.097 0.512 0.707
O2 0.293 0.903 0.488
O3 0.488 0.293 0.903
O4 0.512 0.707 0.097
O5 0.707 0.097 0.512
O6 0.903 0.488 0.293

---

(5)
# Rb2SiNiO4 (PBE+U, relaxed)
# * space group: No. 70
# * crystal system: orthorhombic
# * energy: -5.595 eV per atom
data_Rb2SiNiO4
_cell_length_a 11.846
_cell_length_b 10.578
_cell_length_c 6.421
_cell_angle_alpha 84.59
_cell_angle_beta 62.75
_cell_angle_gamma 32.66
_symmetry_space_group_name_H-M 'P 1'
_symmetry_Int_Tables_number 1
loop_
_symmetry_equiv_pos_as_xyz
'x,y,z'
loop_
_atom_site_label
_atom_site_fract_x
_atom_site_fract_y
_atom_site_fract_z
Rb1 0.049 0.049 0.701
Rb2 0.299 0.299 0.951
Rb3 0.701 0.701 0.049
Rb4 0.951 0.951 0.299
Si1 0.375 0.375 0.375
Si2 0.625 0.625 0.625
Ni1 0.125 0.125 0.125
Ni2 0.875 0.875 0.875
O1 0.045 0.619 0.546
O2 0.290 0.546 0.619
O3 0.381 0.955 0.710
O4 0.454 0.710 0.955
O5 0.546 0.290 0.045
O6 0.619 0.045 0.290
O7 0.710 0.454 0.381
O8 0.955 0.381 0.454

---

(6)
# Rb5Si2NiO8 (PBE+U, relaxed)
# * space group: No. 15
# * crystal system: monoclinic
# * energy: -5.569 eV per atom
data_Rb5Si2NiO8
_cell_length_a 6.864
_cell_length_b 6.864
_cell_length_c 13.940
_cell_angle_alpha 92.71
_cell_angle_beta 92.71
_cell_angle_gamma 104.60
_symmetry_space_group_name_H-M 'P 1'
_symmetry_Int_Tables_number 1
loop_
_symmetry_equiv_pos_as_xyz
'x,y,z'
loop_
_atom_site_label
_atom_site_fract_x
_atom_site_fract_y
_atom_site_fract_z
Rb1 0.131 0.431 0.839
Rb2 0.133 0.867 0.750
Rb3 0.243 0.570 0.399
Rb4 0.430 0.757 0.101
Rb5 0.431 0.131 0.339
Rb6 0.569 0.869 0.661
Rb7 0.570 0.243 0.899
Rb8 0.757 0.430 0.601
Rb9 0.867 0.133 0.250
Rb10 0.869 0.569 0.161
Si1 0.222 0.286 0.616
Si2 0.286 0.222 0.116
Si3 0.714 0.778 0.884
Si4 0.778 0.714 0.384
Ni1 0.000 0.000 0.000
Ni2 0.000 0.000 0.500
O1 0.015 0.879 0.382
O2 0.121 0.985 0.118
O3 0.202 0.245 0.002
O4 0.208 0.518 0.625
O5 0.222 0.376 0.193
O6 0.245 0.202 0.502
O7 0.376 0.222 0.693
O8 0.482 0.792 0.875
O9 0.518 0.208 0.125
O10 0.624 0.778 0.307
O11 0.755 0.798 0.498
O12 0.778 0.624 0.807
O13 0.792 0.482 0.375
O14 0.798 0.755 0.998
O15 0.879 0.015 0.882
O16 0.985 0.121 0.618

---

(7)
# RbNi2SnO (PBE+U, relaxed)
# * space group: No. 123
# * crystal system: tetragonal
# * energy: -0.691 eV per atom
data_RbNi2SnO
_cell_length_a 4.339
_cell_length_b 4.339
_cell_length_c 6.806
_cell_angle_alpha 90.00
_cell_angle_beta 90.00
_cell_angle_gamma 90.00
_symmetry_space_group_name_H-M 'P 1'
_symmetry_Int_Tables_number 1
loop_
_symmetry_equiv_pos_as_xyz
'x,y,z'
loop_
_atom_site_label
_atom_site_fract_x
_atom_site_fract_y
_atom_site_fract_z
Rb1 0.000 0.000 0.000
Ni1 0.000 0.500 0.000
Ni2 0.500 0.000 0.000
Sn1 0.000 0.000 0.500
O1 0.500 0.500 0.500

---

(8)
# RbTaNiO4 (PBE+U, relaxed)
# * space group: No. 11
# * crystal system: monoclinic
# * energy: -7.085 eV per atom
data_RbTaNiO4
_cell_length_a 5.573
_cell_length_b 5.966
_cell_length_c 8.355
_cell_angle_alpha 90.00
_cell_angle_beta 90.68
_cell_angle_gamma 90.00
_symmetry_space_group_name_H-M 'P 1'
_symmetry_Int_Tables_number 1
loop_
_symmetry_equiv_pos_as_xyz
'x,y,z'
loop_
_atom_site_label
_atom_site_fract_x
_atom_site_fract_y
_atom_site_fract_z
Rb1 0.201 0.250 0.460
Rb2 0.799 0.750 0.540
Ta1 0.342 0.750 0.214
Ta2 0.658 0.250 0.786
Ni1 0.087 0.250 0.982
Ni2 0.913 0.750 0.018
O1 0.171 0.506 0.123
O2 0.171 0.994 0.123
O3 0.293 0.750 0.430
O4 0.327 0.250 0.813
O5 0.673 0.750 0.187
O6 0.707 0.250 0.570
O7 0.829 0.006 0.877
O8 0.829 0.494 0.877

---

- Among the records above, which one has the highest energy?
  RbNi2SnO

---

- energy of number 6 (Rb5Si2NiO8)?
  -5.569 eV per atom

---

- The highest energy belongs to which entry?
  RbNi2SnO

---

- Which of these has the highest energy?
  RbNi2SnO